A plane-wave DFT calculation with PBE was carried out for crystalline TaCr2PtN at its relaxed geometry.

a b c (Å): 3.8892 3.8892 4.2488
angles (deg): 90.00 90.00 90.00
With the nearest neighbours (Å) after each atom.
Space group P4/mmm (No. 123)
Unique sites:
Ta: 0.0000 0.0000 0.0000 (multiplicity 1)  4 Pt 2.75, 8 Cr 2.88
Cr: 0.0000 0.5000 0.5000 (multiplicity 2)  2 N 1.94
Pt: 0.5000 0.5000 0.0000 (multiplicity 1)  2 N 2.12
N: 0.5000 0.5000 0.5000 (multiplicity 1)  4 Cr 1.94, 2 Pt 2.12

Calculated values
Energy relative to the lowest polymorph listed for this composition (eV per formula unit): 2.409
Raw total energy (eV per cell): -45.59
Density of states at the Fermi level (states/eV/cell): 5.03
Formation energy from raw total energies (kJ/mol of formula units): -12
Total magnetic moment (μB/f.u.): 0.962

=====

A plane-wave DFT calculation with PBE was carried out for crystalline TaCr2PtN at its relaxed geometry.

a b c (Å): 3.8971 3.8971 4.1823
angles (deg): 90.00 90.00 90.00
With the nearest neighbours (Å) after each atom.
Space group P4/mmm (No. 123)
Unique sites:
Ta: 0.0000 0.0000 0.0000 (multiplicity 1)  2 N 2.09
Cr: 0.0000 0.5000 0.5000 (multiplicity 2)  2 N 1.95
Pt: 0.5000 0.5000 0.0000 (multiplicity 1)  4 Ta 2.76, 8 Cr 2.86
N: 0.0000 0.0000 0.5000 (multiplicity 1)  4 Cr 1.95, 2 Ta 2.09

Calculated values
Energy relative to the lowest polymorph listed for this composition (eV per formula unit): 0.000
Raw total energy (eV per cell): -48.00
Density of states at the Fermi level (states/eV/cell): 5.04
Formation energy from raw total energies (kJ/mol of formula units): -244
Total magnetic moment (μB/f.u.): 2.029